1.
Compound: K4USe5
Source: OQMD
Functional: PBE-GGA
Structure: relaxed

Structure (POSCAR):
```
K4USe5
1.0
-5.157 5.157 3.194
5.157 -5.157 3.194
5.157 5.157 -3.194
K U Se
4 1 5
direct
0.100 0.700 0.800
0.300 0.100 0.400
0.700 0.900 0.600
0.900 0.300 0.200
0.471 0.471 0.000
0.049 0.049 0.000
0.255 0.423 0.676
0.423 0.747 0.168
0.579 0.255 0.832
0.747 0.579 0.324
```

Its symmetry is I4. Its total energy is -4.480 eV per atom.

2.
Compound: KNiI
Source: OQMD
Functional: PBE-GGA
Structure: relaxed

Structure (POSCAR):
```
KNiI
1.0
4.484 0.000 0.000
-2.242 3.883 0.000
0.000 0.000 14.888
K Ni I
3 3 3
direct
0.000 0.000 0.000
0.000 0.000 0.374
0.333 0.667 0.655
0.000 0.000 0.802
0.333 0.667 0.134
0.333 0.667 0.283
0.667 0.333 0.167
0.667 0.333 0.515
0.667 0.333 0.817
```

Its symmetry is P3m1. Its total energy is -2.766 eV per atom.

3.
Compound: CoBiMoPt
Source: OQMD
Functional: PBE-GGA
Structure: relaxed

Structure (POSCAR):
```
CoBiMoPt
1.0
0.000 3.223 3.223
3.223 0.000 3.223
3.223 3.223 0.000
Co Bi Mo Pt
1 1 1 1
direct
0.000 0.000 0.000
0.750 0.750 0.750
0.500 0.500 0.500
0.250 0.250 0.250
```

Its symmetry is F-43m. The energy relative to the lowest polymorph listed for this composition comes out at 0.00 kcal/mol of atoms.

4.
Compound: Zr3Sc3FeBi2
Source: OQMD
Functional: PBE-GGA
Structure: relaxed

Structure (POSCAR):
```
Zr3Sc3FeBi2
1.0
7.945 0.000 0.000
-3.973 6.881 0.000
0.000 0.000 3.717
Zr Sc Fe Bi
3 3 1 2
direct
0.000 0.767 0.000
0.233 0.233 0.000
0.767 0.000 0.000
0.000 0.386 0.500
0.386 0.000 0.500
0.614 0.614 0.500
0.000 0.000 0.500
0.333 0.667 0.000
0.667 0.333 0.000
```

Its symmetry is P-62m. The energy relative to the lowest polymorph listed for this composition comes out at 0.00 kcal/mol of atoms.

5.
Compound: LiAl2Pd
Source: OQMD
Functional: PBE-GGA
Structure: relaxed

Structure (POSCAR):
```
LiAl2Pd
1.0
4.145 0.000 0.000
0.000 4.145 0.000
0.000 0.000 3.336
Li Al Pd
1 2 1
direct
0.000 0.000 0.000
0.000 0.500 0.500
0.500 0.000 0.500
0.500 0.500 0.000
```

Its symmetry is P4/mmm. The energy relative to the lowest polymorph listed for this composition comes out at 2.37 kcal/mol of atoms.

6.
Compound: LaDyNi2B2N2
Source: OQMD
Functional: PBE-GGA
Structure: relaxed

Structure (POSCAR):
```
LaDyNi2B2N2
1.0
3.605 0.000 0.000
0.000 3.605 0.000
0.000 0.000 7.535
La Dy Ni B N
1 1 2 2 2
direct
0.000 0.000 0.000
0.500 0.500 0.342
0.000 0.500 0.668
0.500 0.000 0.668
0.000 0.000 0.519
0.500 0.500 0.828
0.000 0.000 0.327
0.500 0.500 0.022
```

Its symmetry is P4mm. Its total energy is -7.330 eV per atom.

7.
Compound: HgTeO3
Source: OQMD
Functional: PBE-GGA
Structure: relaxed

Structure (POSCAR):
```
HgTeO3
1.0
5.857 0.000 0.000
0.000 8.315 0.000
0.000 0.000 5.765
Hg Te O
4 4 12
direct
0.036 0.250 0.010
0.464 0.750 0.510
0.536 0.250 0.490
0.964 0.750 0.990
0.000 0.000 0.500
0.000 0.500 0.500
0.500 0.000 0.000
0.500 0.500 0.000
0.065 0.750 0.384
0.198 0.563 0.804
0.198 0.937 0.804
0.302 0.063 0.304
0.302 0.437 0.304
0.435 0.250 0.884
0.565 0.750 0.116
0.698 0.563 0.696
0.698 0.937 0.696
0.802 0.063 0.196
0.802 0.437 0.196
0.935 0.250 0.616
```

Its symmetry is Pnma. Its total energy is -4.227 eV per atom.

8.
Compound: Zr4Zn3
Source: OQMD
Functional: PBE-GGA
Structure: relaxed

Structure (POSCAR):
```
Zr4Zn3
1.0
8.249 0.000 0.000
-4.125 7.144 0.000
0.000 0.000 4.673
Zr Zn
8 6
direct
0.095 0.451 0.250
0.333 0.667 0.750
0.355 0.905 0.250
0.451 0.355 0.750
0.549 0.645 0.250
0.645 0.095 0.750
0.667 0.333 0.250
0.905 0.549 0.750
0.047 0.222 0.750
0.174 0.953 0.750
0.222 0.174 0.250
0.778 0.826 0.750
0.826 0.047 0.250
0.953 0.778 0.250
```

Its symmetry is P6_3/m. The formation enthalpy at 0 K comes out at -0.0780 eV/atom. The energy relative to the lowest polymorph listed for this composition comes out at 1.29 kcal/mol of atoms.

Calculated V in order - 339.8, 259.3, 66.9, 203.2, 57.3, 97.9, 280.8, 275.4 Å³/cell